Entry 1:
DFT (PBE) results for YP4Pd12 after structural relaxation.

Cell lengths 7.2225, 7.2225, 7.2225 Å; angles 109.47, 109.47, 109.47 degrees
With the nearest neighbours (Å) after each atom.
Fractional positions:
Y 0.0000 0.0000 0.0000  12 Pd 3.13
P 0.0000 0.5000 0.0000  6 Pd 2.30
P 0.5000 0.0000 0.0000  6 Pd 2.30
P 0.5000 0.5000 0.5000  6 Pd 2.30
P 0.0000 0.0000 0.5000  6 Pd 2.30
Pd 0.8299 0.3341 0.1640  2 P 2.30
Pd 0.3341 0.5043 0.1701  2 P 2.30
Pd 0.8360 0.1701 0.6659  2 P 2.30
Pd 0.3341 0.1640 0.8299  2 P 2.30
Pd 0.1640 0.8299 0.3341  2 P 2.30
Pd 0.6659 0.4957 0.8299  2 P 2.30
Pd 0.5043 0.1701 0.3341  2 P 2.30
Pd 0.4957 0.8299 0.6659  2 P 2.30
Pd 0.6659 0.8360 0.1701  2 P 2.30
Pd 0.8299 0.6659 0.4957  2 P 2.30
Pd 0.1701 0.3341 0.5043  2 P 2.30
Pd 0.1701 0.6659 0.8360  2 P 2.30

Calculated values
Energy relative to the elements = -460 meV per atom
Total DFT energy (no corrections) = -5.7791 eV per atom
Space-group type = No. 204

Entry 2:
DFT (PBE) results for TiAsPd after structural relaxation.

Cell lengths 3.7846, 6.6460, 11.4117 Å; angles 89.38, 90.00, 90.00 degrees
With the nearest neighbours (Å) after each atom.
Fractional positions:
Ti 0.7500 0.5331 0.3926  5 As 2.65-2.89, 2 Pd 2.95
Ti 0.2500 0.9396 0.7140  5 As 2.68-2.80, 3 Pd 2.95-3.00
Ti 0.7500 0.0604 0.2860  5 As 2.68-2.80, 3 Pd 2.95-3.00
Ti 0.7500 0.6710 0.0847  5 As 2.65-2.74, 5 Pd 2.89-2.94
Ti 0.2500 0.4669 0.6074  5 As 2.65-2.89, 2 Pd 2.95
Ti 0.2500 0.3290 0.9153  5 As 2.65-2.74, 5 Pd 2.89-2.94
As 0.2500 0.7276 0.9221  5 Pd 2.53-2.70, 4 Ti 2.65-2.75
As 0.7500 0.2441 0.7497  3 Pd 2.43-2.48
As 0.7500 0.7462 0.5921  4 Pd 2.51-2.70, 5 Ti 2.65-2.69
As 0.7500 0.2724 0.0779  5 Pd 2.53-2.70, 4 Ti 2.65-2.75
As 0.2500 0.2538 0.4079  4 Pd 2.51-2.70, 5 Ti 2.65-2.69
As 0.2500 0.7559 0.2503  3 Pd 2.43-2.48
Pd 0.2500 0.0099 0.0901  4 As 2.48-2.70
Pd 0.2500 0.8549 0.4560  4 As 2.44-2.70
Pd 0.7500 0.6006 0.7959  4 As 2.43-2.53
Pd 0.7500 0.1451 0.5440  4 As 2.44-2.70
Pd 0.2500 0.3994 0.2041  4 As 2.43-2.53
Pd 0.7500 0.9901 0.9099  4 As 2.48-2.70

Calculated values
Energy relative to the elements = -722 meV per atom
Total DFT energy (no corrections) = -6.6341 eV per atom
Space-group type = No. 11

Entry 3:
DFT (PBE) results for ScSnSbO2 after structural relaxation.

Cell lengths 4.1079, 5.8298, 4.1079 Å; angles 90.00, 90.00, 90.00 degrees
With the nearest neighbours (Å) after each atom.
Fractional positions:
Sc 0.5000 0.5000 0.5000  4 Sn 2.90
Sb 0.0000 0.0000 0.0000  4 O 2.05
Sn 0.0000 0.5000 0.0000  4 Sc 2.90, 2 Sb 2.91
O 0.0000 0.0000 0.5000  2 Sb 2.05
O 0.5000 0.0000 0.0000  2 Sb 2.05

Calculated values
Total DFT energy (no corrections) = -5.4220 eV per atom
Space-group type = No. 123
Formation energy without anion corrections = -2.74 eV/f.u.